KPWO2, optimized geometry, DFT PBE+U; symmetry = P4/mmm, No. 123; uncorrected energy = -3.336 eV/atom; polymorph energy (0 for the lowest one) = 2372 meV/atom; N(E_F) = 2.9 states/eV/cell; M_tot = 3.61 μB per cell
1.0
4.2015 0.0000 0.0000
0.0000 4.2015 0.0000
0.0000 0.0000 5.7133
K P W O
1 1 1 2
Direct
0.0000 0.0000 0.0000
0.0000 0.0000 0.5000
0.5000 0.5000 0.5000
0.0000 0.5000 0.0000
0.5000 0.0000 0.0000